1.
A plane-wave DFT calculation with PBE was carried out for an optimized crystal structure of MgReSbTe2.

calculated volume: 152.6 Å³/f.u.
ρ: 6.39 g cm⁻³
formation energy (no corrections): 1.426 eV per atom
offset from the most stable computed form: 0.814 eV per atom
total magnetization: 3.8 μB per formula unit
Fermi-level density of states: 5.917 states/eV/f.u.

Cell lengths 5.3542, 5.3542, 5.3221 Å; angles 90.00, 90.00, 90.00 degrees
With the nearest neighbours (Å) after each atom.
Space group P4/mmm (No. 123)
Inequivalent atoms, fractional coordinates:
Mg 0.0000 0.0000 0.0000 x1  2 Sb 2.66, 4 Te 2.68
Re 0.5000 0.5000 0.5000 x1  8 Te 3.77, 4 Sb 3.79
Sb 0.0000 0.0000 0.5000 x1  2 Mg 2.66
Te 0.0000 0.5000 0.0000 x2  2 Mg 2.68

---

2.
A plane-wave DFT calculation with PBE was carried out for an optimized crystal structure of LiZr2TiCd.

calculated volume: 102.3 Å³/f.u.
energy relative to the elements: 0.66 eV/atom
ρ: 5.68 g cm⁻³
total magnetization: 0.0 μB per formula unit
Fermi-level density of states: 5.329 states/eV/f.u.

Cell lengths 4.7392, 4.7392, 4.5530 Å; angles 90.00, 90.00, 90.00 degrees
With the nearest neighbours (Å) after each atom.
Space group P4/mmm (No. 123)
Inequivalent atoms, fractional coordinates:
Li 0.0000 0.0000 0.0000 x1  2 Ti 2.28, 4 Zr 2.37
Zr 0.0000 0.5000 0.0000 x2  2 Li 2.37
Ti 0.0000 0.0000 0.5000 x1  2 Li 2.28
Cd 0.5000 0.5000 0.5000 x1  8 Zr 3.29, 4 Ti 3.35

---

3.
A plane-wave DFT calculation with PBE was carried out for an optimized crystal structure of Al2GeO.

calculated volume: 64.7 Å³/f.u.
ρ: 3.66 g cm⁻³
formation energy (no corrections): -0.896 eV per atom
offset from the most stable computed form: 0.000 eV per atom
total magnetization: 0.0 μB per formula unit
Fermi-level density of states: 0.228 states/eV/f.u.

Cell lengths 4.9487, 4.9487, 10.5749 Å; angles 90.00, 90.00, 90.00 degrees
With the nearest neighbours (Å) after each atom.
Space group I-42d (No. 122)
Inequivalent atoms, fractional coordinates:
Al 0.1611 0.2500 0.1250 x8  2 O 1.98
Ge 0.0000 0.0000 0.5000 x4  4 Al 2.47
O 0.0000 0.0000 0.0000 x4  4 Al 1.98

---

4.
A plane-wave DFT calculation with PBE was carried out for an optimized crystal structure of LiTc2Sb.

calculated volume: 62.2 Å³/f.u.
ρ: 8.66 g cm⁻³
formation energy (no corrections): 0.227 eV per atom
total magnetization: 0.0 μB per formula unit
Fermi-level density of states: 4.354 states/eV/f.u.

Cell lengths 3.8448, 3.8448, 8.4207 Å; angles 90.00, 90.00, 90.00 degrees
With the nearest neighbours (Å) after each atom.
Space group I4/mmm (No. 139)
Inequivalent atoms, fractional coordinates:
Li 0.0000 0.0000 0.0000 x2  4 Sb 2.72, 8 Tc 2.85
Tc 0.0000 0.5000 0.2500 x4  4 Tc 2.72, 4 Li 2.85, 4 Sb 2.85
Sb 0.0000 0.0000 0.5000 x2  4 Li 2.72, 8 Tc 2.85

---

5.
A plane-wave DFT calculation with PBE was carried out for an optimized crystal structure of SrLa2PuN4.

calculated volume: 153.6 Å³/f.u.
ρ: 7.20 g cm⁻³
formation energy (no corrections): -0.967 eV per atom
total magnetization: 4.0 μB per formula unit
Fermi-level density of states: 6.365 states/eV/f.u.

Cell lengths 3.7054, 12.7217, 13.0308 Å; angles 90.00, 90.00, 90.00 degrees
With the nearest neighbours (Å) after each atom.
Space group Cmcm (No. 63)
Inequivalent atoms, fractional coordinates:
Sr 0.0000 0.1307 0.2500 x4  6 N 2.87-2.92
La 0.0000 0.3710 0.0247 x8  5 N 2.48-2.71
Pu 0.0000 0.1359 0.7500 x4  4 N 2.18-2.21
N 0.0000 0.0000 0.0000 x4  4 La 2.50
N 0.0000 0.2478 0.6232 x8  1 Pu 2.18
N 0.0000 0.4588 0.2500 x4  2 Pu 2.21

---

6.
A plane-wave DFT calculation with PBE was carried out for an optimized crystal structure of CrGaBiP2.

calculated volume: 109.2 Å³/f.u.
energy relative to the elements: 0.30 eV/atom
ρ: 5.97 g cm⁻³
total magnetization: 0.2 μB per formula unit
Fermi-level density of states: 2.801 states/eV/f.u.

Cell lengths 4.3274, 4.3274, 5.8326 Å; angles 90.00, 90.00, 90.00 degrees
With the nearest neighbours (Å) after each atom.
Space group P4/mmm (No. 123)
Inequivalent atoms, fractional coordinates:
Cr 0.0000 0.0000 0.0000 x1  4 P 2.16
Ga 0.5000 0.5000 0.5000 x1  4 Bi 3.06
Bi 0.0000 0.0000 0.5000 x1  2 Cr 2.92, 4 Ga 3.06
P 0.0000 0.5000 0.0000 x2  2 Cr 2.16

---

7.
A plane-wave DFT calculation with PBE was carried out for an optimized crystal structure of NbTlZn2Sb.

calculated volume: 143.2 Å³/f.u.
ρ: 6.38 g cm⁻³
formation energy (no corrections): 0.881 eV per atom
total magnetization: 2.5 μB per formula unit
Fermi-level density of states: 5.157 states/eV/f.u.

Cell lengths 5.1667, 5.1667, 5.3635 Å; angles 90.00, 90.00, 90.00 degrees
With the nearest neighbours (Å) after each atom.
Space group P4/mmm (No. 123)
Inequivalent atoms, fractional coordinates:
Nb 0.0000 0.0000 0.0000 x1  2 Sb 2.68
Tl 0.5000 0.5000 0.0000 x1  4 Nb 3.65, 8 Zn 3.72
Zn 0.0000 0.5000 0.5000 x2  2 Sb 2.58
Sb 0.0000 0.0000 0.5000 x1  4 Zn 2.58, 2 Nb 2.68

---

8.
A plane-wave DFT calculation with PBE was carried out for an optimized crystal structure of RbBaNb.

calculated volume: 161.2 Å³/f.u.
energy relative to the elements: 0.47 eV/atom
ρ: 3.25 g cm⁻³
offset from the most stable computed form: 0.019 eV per atom
total magnetization: 0.0 μB per formula unit
Fermi-level density of states: 3.196 states/eV/f.u.

Cell lengths 4.5579, 4.5605, 17.6492 Å; angles 96.60, 91.27, 117.39 degrees
With the nearest neighbours (Å) after each atom.
Space group P1 (No. 1)
Inequivalent atoms, fractional coordinates:
Rb 0.0000 0.0000 0.0000 x1  9 Rb 4.56-5.09, 2 Ba 4.95-4.97
Rb 0.2826 0.4763 0.7607 x1  9 Rb 4.56-5.09, 2 Ba 4.94-4.95
Ba 0.4842 0.7626 0.2445 x1  6 Nb 3.57-3.58
Ba 0.5844 0.9295 0.5166 x1  6 Nb 3.57-3.58
Nb 0.1935 0.1874 0.3806 x1  2 Nb 2.47-2.76
Nb 0.8761 0.5039 0.3806 x1  2 Nb 2.47-2.76

---

9.
A plane-wave DFT calculation with PBE was carried out for an optimized crystal structure of LiAcAl2Ag4.

calculated volume: 163.2 Å³/f.u.
energy relative to the elements: -0.24 eV/atom
ρ: 7.32 g cm⁻³
total magnetization: 0.0 μB per formula unit
Fermi-level density of states: 5.076 states/eV/f.u.

Cell lengths 4.5476, 4.5476, 27.3328 Å; angles 90.00, 90.00, 120.00 degrees
With the nearest neighbours (Å) after each atom.
Space group R-3m (No. 166, hexagonal axes)
Inequivalent atoms, fractional coordinates:
Li 0.0000 0.0000 0.0000 x3  8 Ag 2.53-2.77
Ac 0.0000 0.0000 0.5000 x3  8 Ag 3.31-3.68, 6 Al 3.71
Al 0.0000 0.0000 0.2625 x6  7 Ag 2.69-2.83
Ag 0.0000 0.0000 0.0927 x6  1 Li 2.53, 3 Al 2.69
Ag 0.0000 0.0000 0.3655 x6  3 Li 2.77, 4 Al 2.81-2.83

---

10.
A plane-wave DFT calculation with PBE was carried out for an optimized crystal structure of ZrP2Rh.

calculated volume: 64.2 Å³/f.u.
energy relative to the elements: -0.24 eV/atom
ρ: 6.63 g cm⁻³
offset from the most stable computed form: 0.597 eV per atom
total magnetization: 0.0 μB per formula unit
Fermi-level density of states: 4.205 states/eV/f.u.

Cell lengths 6.3553, 6.3553, 6.3553 Å; angles 90.00, 90.00, 90.00 degrees
With the nearest neighbours (Å) after each atom.
Space group F-43m (No. 216)
Inequivalent atoms, fractional coordinates:
Zr 0.0000 0.0000 0.0000 x4  4 Rh 2.75, 4 P 2.75
P 0.0000 0.0000 0.5000 x4  4 Rh 2.75, 4 P 2.75
P 0.2500 0.2500 0.2500 x4  4 Zr 2.75, 4 P 2.75
Rh 0.2500 0.2500 0.7500 x4  4 Zr 2.75, 4 P 2.75

---

11.
A plane-wave DFT calculation with PBE was carried out for an optimized crystal structure of KMnCu2.

calculated volume: 85.2 Å³/f.u.
energy relative to the elements: 0.49 eV/atom
ρ: 4.31 g cm⁻³
offset from the most stable computed form: 0.079 eV per atom
total magnetization: 3.9 μB per formula unit
Fermi-level density of states: 2.015 states/eV/f.u.

Cell lengths 8.5492, 2.9074, 6.9046 Å; angles 90.00, 96.79, 90.00 degrees
With the nearest neighbours (Å) after each atom.
Space group C2/m (No. 12)
Inequivalent atoms, fractional coordinates:
K 0.0000 0.0000 0.0000 x2  2 K 2.91
Mn 0.0000 0.5000 0.5000 x2  6 Cu 2.54-2.61
Cu 0.2297 0.0000 0.6392 x4  2 Cu 2.47, 3 Mn 2.54-2.61

---

12.
A plane-wave DFT calculation with PBE was carried out for an optimized crystal structure of Nd2Er7Tc2.

calculated volume: 319.3 Å³/f.u.
energy relative to the elements: 0.06 eV/atom
ρ: 8.61 g cm⁻³
total magnetization: 0.0 μB per formula unit
Fermi-level density of states: 10.666 states/eV/f.u.

Cell lengths 3.5371, 19.3785, 9.3180 Å; angles 90.00, 90.00, 90.00 degrees
With the nearest neighbours (Å) after each atom.
Space group Imm2 (No. 44)
Inequivalent atoms, fractional coordinates:
Nd 0.0000 0.2439 0.0000 x4  8 Er 3.46-3.84, 2 Nd 3.54
Er 0.0000 0.1113 0.6935 x4  2 Tc 2.86
Er 0.0000 0.1350 0.3044 x4  1 Tc 2.74
Er 0.0000 0.4198 0.5155 x4  3 Tc 2.82-3.01, 1 Er 3.11
Er 0.0000 0.5000 0.9608 x2  3 Tc 2.82-2.88
Tc 0.0000 0.0000 0.2175 x2  8 Er 2.74-3.01
Tc 0.0000 0.5000 0.2634 x2  7 Er 2.82-2.86